Computed, not measured: a geometry-optimized NpMnTe3 structure at the PBE-GGA level of DFT.

abc: 6.7209 6.7209 9.0893
angles: 90.00 90.00 138.76
Closest atoms and distances in Å follow each position.
Element x y z (fractional)
Np (0.2019, 0.7981, 0.7500)  1 Mn 2.09
Np (0.7981, 0.2019, 0.2500)  1 Mn 2.09
Mn (0.3681, 0.6319, 0.7500)  1 Np 2.09
Mn (0.6319, 0.3681, 0.2500)  1 Np 2.09
Te (0.0423, 0.9577, 0.2500)  2 Mn 2.62
Te (0.3571, 0.6429, 0.0409)  1 Mn 2.65
Te (0.3571, 0.6429, 0.4591)  1 Mn 2.65
Te (0.6429, 0.3571, 0.5409)  1 Mn 2.65
Te (0.6429, 0.3571, 0.9591)  1 Mn 2.65
Te (0.9577, 0.0423, 0.7500)  2 Mn 2.62

## Properties
Calculated density in g/cm3: 8.28
Electronic total energy in Ha/atom: -0.2402
Polymorph energy (0 for the lowest one) in kJ/mol of atoms: 16.66
Spin magnetization in μB/cell: 2.698
E_form (uncorrected) in kcal/mol of atoms: -5.3